1.
The following is a DFT calculation (PBE-GGA) of NdSmHo after structural relaxation.

Cell lengths 3.6611, 3.6611, 17.4422 Å; angles 90.00, 90.00, 120.00 degrees
Space group P-6m2 (No. 187)
Unique sites:
1 Nd 0.0000 0.0000 0.1649
2 Sm 0.3333 0.6667 0.3373
3 Ho 0.0000 0.0000 0.5000
4 Ho 0.3333 0.6667 0.0000

Results
Energy above the most stable polymorph in this dataset in meV per atom: 7
Formation energy in kJ/mol of atoms: 3

2.
The following is a DFT calculation (PBE-GGA) of PrEr7Tm3 after structural relaxation.

Cell lengths 12.4552, 11.0955, 5.7330 Å; angles 90.00, 117.33, 90.00 degrees
Space group C2/m (No. 12)
Unique sites:
1 Pr 0.0000 0.0000 0.0000
2 Er 0.0000 0.0000 0.5000
3 Er 0.2063 0.5000 0.7056
4 Er 0.2066 0.3053 0.2064
5 Tm 0.0000 0.2957 0.5000
6 Tm 0.0000 0.5000 0.0000

Results
Energy above the most stable polymorph in this dataset in meV per atom: 114
Formation energy in kJ/mol of atoms: 26

3.
The following is a DFT calculation (PBE-GGA) of YCuSb2 after structural relaxation.

Cell lengths 3.9292, 4.0992, 6.3806 Å; angles 90.00, 90.31, 90.00 degrees
Space group P2/m (No. 10)
Unique sites:
1 Y 0.0000 0.0000 0.0000
2 Cu 0.5000 0.0000 0.5000
3 Sb 0.4982 0.5000 0.7524

Results
Energy above the most stable polymorph in this dataset in meV per atom: 268
Formation energy (no corrections) in eV per atom: -0.35

4.
The following is a DFT calculation (PBE-GGA) of Zn2InN after structural relaxation.

Cell lengths 6.3855, 6.3855, 6.3855 Å; angles 90.00, 90.00, 90.00 degrees
Space group Fm-3m (No. 225)
Unique sites:
1 Zn 0.2500 0.2500 0.2500
2 In 0.0000 0.0000 0.0000
3 N 0.0000 0.0000 0.5000

Results
Energy above the most stable polymorph in this dataset in meV per atom: 863
Formation energy (no corrections) in eV per atom: 1.05

5.
The following is a DFT calculation (PBE-GGA) of TiFeP2S after structural relaxation.

Cell lengths 4.6976, 4.6976, 4.5903 Å; angles 90.00, 90.00, 90.00 degrees
Space group P4/mmm (No. 123)
Unique sites:
1 Ti 0.0000 0.0000 0.0000
2 Fe 0.5000 0.5000 0.5000
3 P 0.0000 0.5000 0.0000
4 S 0.0000 0.0000 0.5000

Results
Energy above the most stable polymorph in this dataset in meV per atom: 224
Formation energy (no corrections) in eV per atom: 0.49

6.
The following is a DFT calculation (PBE-GGA) of HfB3C after structural relaxation.

Cell lengths 4.4342, 4.4342, 4.4342 Å; angles 90.00, 90.00, 90.00 degrees
Space group Pm-3m (No. 221)
Unique sites:
1 Hf 0.0000 0.0000 0.0000
2 B 0.0000 0.0000 0.5000
3 C 0.5000 0.5000 0.5000

Results
Energy above the most stable polymorph in this dataset in meV per atom: 1898
Formation energy in kJ/mol of atoms: 302

7.
The following is a DFT calculation (PBE-GGA) of LaTbPa after structural relaxation.

Cell lengths 5.5557, 5.5557, 3.3818 Å; angles 90.00, 90.00, 120.00 degrees
Space group P-6m2 (No. 187)
Unique sites:
1 La 0.0000 0.0000 0.0000
2 Tb 0.3333 0.6667 0.5000
3 Pa 0.6667 0.3333 0.0000

Results
Energy above the most stable polymorph in this dataset in meV per atom: 142
Formation energy in kJ/mol of atoms: 28

8.
The following is a DFT calculation (PBE-GGA) of TlCdIO2 after structural relaxation.

Cell lengths 4.5041, 4.5041, 6.2975 Å; angles 90.00, 90.00, 90.00 degrees
Space group P4/mmm (No. 123)
Unique sites:
1 Tl 0.0000 0.0000 0.0000
2 Cd 0.5000 0.5000 0.5000
3 I 0.5000 0.5000 0.0000
4 O 0.0000 0.5000 0.5000

Results
Energy above the most stable polymorph in this dataset in meV per atom: 0
Formation energy (no corrections) in eV per atom: -0.03

9.
The following is a DFT calculation (PBE-GGA) of Sm2YBi after structural relaxation.

Cell lengths 4.8839, 4.8839, 5.0110 Å; angles 90.00, 90.00, 90.00 degrees
Space group P4/mmm (No. 123)
Unique sites:
1 Sm 0.0000 0.5000 0.0000
2 Y 0.0000 0.0000 0.5000
3 Bi 0.5000 0.5000 0.5000

Results
Energy above the most stable polymorph in this dataset in meV per atom: 42
Formation energy in kJ/mol of atoms: -37

10.
The following is a DFT calculation (PBE-GGA) of La7SiCl12 after structural relaxation.

Cell lengths 15.0230, 15.0230, 10.2911 Å; angles 90.00, 90.00, 120.00 degrees
Space group R-3 (No. 148, hexagonal axes)
Unique sites:
1 La 0.0000 0.0000 0.0000
2 La 0.0418 0.8693 0.3429
3 Si 0.0000 0.0000 0.5000
4 Cl 0.0259 0.4437 0.1620
5 Cl 0.0417 0.8716 0.8370

Results
Formation energy (no corrections) in eV per atom: -2.03

11.
The following is a DFT calculation (PBE-GGA) of NaSrGa2Ir after structural relaxation.

Cell lengths 4.8362, 4.8362, 5.3332 Å; angles 90.00, 90.00, 90.00 degrees
Space group P4/mmm (No. 123)
Unique sites:
1 Na 0.0000 0.0000 0.0000
2 Sr 0.5000 0.5000 0.0000
3 Ga 0.0000 0.5000 0.5000
4 Ir 0.0000 0.0000 0.5000

Results
Energy above the most stable polymorph in this dataset in meV per atom: 0
Formation energy in kJ/mol of atoms: -24

12.
The following is a DFT calculation (PBE-GGA) of AcHgIrO6 after structural relaxation.

Cell lengths 6.0329, 6.0329, 8.2557 Å; angles 90.00, 90.00, 120.00 degrees
Space group P-31c (No. 163)
Unique sites:
1 Ac 0.3333 0.6667 0.2500
2 Hg 0.0000 0.0000 0.0000
3 Ir 0.3333 0.6667 0.7500
4 O 0.0681 0.4016 0.6197

Results
Formation energy (no corrections) in eV per atom: -1.19

Number 1: VASP energy -4.66 eV per atom, size of the total moment 0.0 μB/f.u.. Number 2: VASP energy -4.29 eV per atom, size of the total moment 0.0 μB/f.u.. Number 3: VASP energy -5.06 eV per atom, size of the total moment 0.0 μB/f.u.. Number 4: VASP energy -2.36 eV per atom, size of the total moment 0.0 μB/f.u.. Number 5: VASP energy -5.77 eV per atom, size of the total moment 3.3 μB/f.u.. Number 6: VASP energy -4.72 eV per atom, size of the total moment 0.2 μB/f.u.. Number 7: VASP energy -6.06 eV per atom, size of the total moment 0.0 μB/f.u.. Number 8: VASP energy -2.98 eV per atom, size of the total moment 1.7 μB/f.u.. Number 9: VASP energy -5.33 eV per atom, size of the total moment 0.0 μB/f.u.. Number 10: VASP energy -5.14 eV per atom, size of the total moment 0.0 μB/f.u.. Number 11: VASP energy -3.83 eV per atom, size of the total moment 0.0 μB/f.u.. Number 12: VASP energy -5.97 eV per atom, size of the total moment 0.6 μB/f.u..